A geometry-optimized Sc2Ag2Pb structure. Source: the Open Quantum Materials Database, functional PBE-GGA.

Values from the calculation:
The calculated total energy comes out at -21.7 eV for the cell shown.

Structure (CIF):
```
data_Sc2Ag2Pb
_cell_length_a 7.197
_cell_length_b 7.197
_cell_length_c 7.197
_cell_angle_alpha 146.42
_cell_angle_beta 146.42
_cell_angle_gamma 48.22
_space_group_name_H-M_alt 'P 1'
_space_group_IT_number 1
loop_
_space_group_symop_operation_xyz
'x,y,z'
loop_
_atom_site_label
_atom_site_fract_x
_atom_site_fract_y
_atom_site_fract_z
Ag1 0.750 0.250 0.500
Ag2 0.250 0.750 0.500
Pb1 0.000 0.000 0.000
Sc1 0.393 0.393 0.000
Sc2 0.607 0.607 0.000
```